Record 1
# PrY2InN

PrY2InN after structural relaxation (GGA-PBE, Alexandria).

Its volume is 119 Å³ per cell. The value obtained for the energy relative to the elements, uncorrected is -0.9377 eV per atom. As for the density of states at the Fermi level: 2.46 states/eV/f.u.

Structure (POSCAR):
```
PrY2InN
1.0
4.8513 0.0000 0.0000
0.0000 4.8513 0.0000
0.0000 0.0000 5.0693
Pr Y In N
1 2 1 1
direct
0.0000 0.0000 0.0000
0.0000 0.5000 0.5000
0.5000 0.0000 0.5000
0.5000 0.5000 0.0000
0.0000 0.0000 0.5000
```



Record 2
# InPtN3

InPtN3 after structural relaxation (GGA-PBE, Alexandria).

Its volume is 63 Å³ per cell. The value obtained for the energy relative to the elements, uncorrected is 1.6017 eV per atom. As for the density of states at the Fermi level: 2.42 states/eV/f.u.

Structure (POSCAR):
```
InPtN3
1.0
3.9887 0.0000 0.0000
0.0000 3.9887 0.0000
0.0000 0.0000 3.9887
In Pt N
1 1 3
direct
0.0000 0.0000 0.0000
0.5000 0.5000 0.5000
0.0000 0.5000 0.5000
0.5000 0.0000 0.5000
0.5000 0.5000 0.0000
```



Record 3
# InPt3N

InPt3N after structural relaxation (GGA-PBE, Alexandria).

Its offset from the most stable computed form is 0.00 eV per formula unit. Its volume is 78 Å³ per cell. The value obtained for the energy relative to the elements, uncorrected is 0.3721 eV per atom. As for the density of states at the Fermi level: 1.96 states/eV/f.u.

Structure (POSCAR):
```
InPt3N
1.0
4.2674 0.0000 0.0000
0.0000 4.2674 0.0000
0.0000 0.0000 4.2674
In Pt N
1 3 1
direct
0.0000 0.0000 0.0000
0.0000 0.5000 0.5000
0.5000 0.0000 0.5000
0.5000 0.5000 0.0000
0.5000 0.5000 0.5000
```



Record 4
# InPt2N

InPt2N after structural relaxation (GGA-PBE, Alexandria).

Its offset from the most stable computed form is 0.00 eV per formula unit. Its volume is 150 Å³ per cell. The value obtained for the energy relative to the elements, uncorrected is 0.2406 eV per atom. As for the density of states at the Fermi level: 1.06 states/eV/f.u.

Structure (POSCAR):
```
InPt2N
1.0
-2.5006 2.5006 5.9984
2.5006 -2.5006 5.9984
2.5006 2.5006 -5.9984
In Pt N
2 4 2
direct
0.0000 0.0000 0.0000
0.7500 0.2500 0.5000
0.2654 0.6250 0.1404
0.3750 0.5154 0.6404
0.4846 0.1250 0.8596
0.8750 0.7346 0.3596
0.2500 0.7500 0.5000
0.5000 0.5000 0.0000
```



Record 5
# InPtN3

InPtN3 after structural relaxation (GGA-PBE, Alexandria).

Its volume is 69 Å³ per cell. The value obtained for the energy relative to the elements, uncorrected is 2.5316 eV per atom. As for the density of states at the Fermi level: 6.41 states/eV/f.u.

Structure (POSCAR):
```
InPtN3
1.0
4.1102 0.0000 0.0000
0.0000 4.1102 0.0000
0.0000 0.0000 4.1102
In Pt N
1 1 3
direct
0.0000 0.0000 0.0000
0.5000 0.5000 0.5000
0.0000 0.0000 0.5000
0.0000 0.5000 0.0000
0.5000 0.0000 0.0000
```



Record 6
# InPt2N

InPt2N after structural relaxation (GGA-PBE, Alexandria).

Its offset from the most stable computed form is 2.92 eV per formula unit. Its volume is 62 Å³ per cell. The value obtained for the energy relative to the elements, uncorrected is 0.9694 eV per atom. As for the density of states at the Fermi level: 2.00 states/eV/f.u.

Structure (POSCAR):
```
InPt2N
1.0
0.0000 3.1408 3.1408
3.1408 0.0000 3.1408
3.1408 3.1408 0.0000
In Pt N
1 2 1
direct
0.0000 0.0000 0.0000
0.2500 0.2500 0.2500
0.7500 0.7500 0.7500
0.5000 0.5000 0.5000
```



Record 7
# InPt3N

InPt3N after structural relaxation (GGA-PBE, Alexandria).

Its offset from the most stable computed form is 9.25 eV per formula unit. Its volume is 128 Å³ per cell. The value obtained for the energy relative to the elements, uncorrected is 2.2215 eV per atom. As for the density of states at the Fermi level: 4.28 states/eV/f.u.

Structure (POSCAR):
```
InPt3N
1.0
5.0395 0.0000 0.0000
0.0000 5.0395 0.0000
0.0000 0.0000 5.0395
In Pt N
1 3 1
direct
0.0000 0.0000 0.0000
0.0000 0.0000 0.5000
0.0000 0.5000 0.0000
0.5000 0.0000 0.0000
0.5000 0.5000 0.5000
```



Record 8
# InPtS2N

InPtS2N after structural relaxation (GGA-PBE, Alexandria).

Its offset from the most stable computed form is 0.00 eV per formula unit. Its volume is 95 Å³ per cell. The value obtained for the energy relative to the elements, uncorrected is 0.4275 eV per atom. As for the density of states at the Fermi level: 2.63 states/eV/f.u.

Structure (POSCAR):
```
InPtS2N
1.0
5.0574 0.0000 0.0000
0.0000 5.0574 0.0000
0.0000 0.0000 3.7193
In Pt S N
1 1 2 1
direct
0.0000 0.0000 0.0000
0.5000 0.5000 0.5000
0.0000 0.5000 0.5000
0.5000 0.0000 0.5000
0.5000 0.5000 0.0000
```



Record 9
# InPtS2N

InPtS2N after structural relaxation (GGA-PBE, Alexandria).

Its offset from the most stable computed form is 5.43 eV per formula unit. Its volume is 102 Å³ per cell. The value obtained for the energy relative to the elements, uncorrected is 1.5130 eV per atom. As for the density of states at the Fermi level: 10.08 states/eV/f.u.

Structure (POSCAR):
```
InPtS2N
1.0
5.0492 0.0000 0.0000
0.0000 5.0492 0.0000
0.0000 0.0000 4.0034
In Pt S N
1 1 2 1
direct
0.0000 0.0000 0.0000
0.5000 0.5000 0.5000
0.0000 0.5000 0.0000
0.5000 0.0000 0.0000
0.0000 0.0000 0.5000
```



Record 10
# InPtSe2N

InPtSe2N after structural relaxation (GGA-PBE, Alexandria).

Its offset from the most stable computed form is 4.70 eV per formula unit. Its volume is 113 Å³ per cell. The value obtained for the energy relative to the elements, uncorrected is 1.2901 eV per atom. As for the density of states at the Fermi level: 3.89 states/eV/f.u.

Structure (POSCAR):
```
InPtSe2N
1.0
5.3045 0.0000 0.0000
0.0000 5.3045 0.0000
0.0000 0.0000 4.0317
In Pt Se N
1 1 2 1
direct
0.0000 0.0000 0.0000
0.5000 0.5000 0.5000
0.0000 0.5000 0.0000
0.5000 0.0000 0.0000
0.0000 0.0000 0.5000
```



Record 11
# InPtSe2N

InPtSe2N after structural relaxation (GGA-PBE, Alexandria).

Its offset from the most stable computed form is 0.00 eV per formula unit. Its volume is 105 Å³ per cell. The value obtained for the energy relative to the elements, uncorrected is 0.3493 eV per atom. As for the density of states at the Fermi level: 4.25 states/eV/f.u.

Structure (POSCAR):
```
InPtSe2N
1.0
5.3339 0.0000 0.0000
0.0000 5.3339 0.0000
0.0000 0.0000 3.6942
In Pt Se N
1 1 2 1
direct
0.0000 0.0000 0.0000
0.5000 0.5000 0.5000
0.0000 0.5000 0.5000
0.5000 0.0000 0.5000
0.5000 0.5000 0.0000
```



Record 12
# InPtSe2N

InPtSe2N after structural relaxation (GGA-PBE, Alexandria).

Its offset from the most stable computed form is 2.09 eV per formula unit. Its volume is 88 Å³ per cell. The value obtained for the energy relative to the elements, uncorrected is 0.7668 eV per atom. As for the density of states at the Fermi level: 4.26 states/eV/f.u.

Structure (POSCAR):
```
InPtSe2N
1.0
4.4912 0.0000 0.0000
0.0000 4.4912 0.0000
0.0000 0.0000 4.3847
In Pt Se N
1 1 2 1
direct
0.0000 0.0000 0.0000
0.5000 0.5000 0.0000
0.0000 0.5000 0.5000
0.5000 0.0000 0.5000
0.0000 0.0000 0.5000
```



Record 13
# Sr2InPtN

Sr2InPtN after structural relaxation (GGA-PBE, Alexandria).

Its offset from the most stable computed form is 0.00 eV per formula unit. Its volume is 123 Å³ per cell. The value obtained for the energy relative to the elements, uncorrected is -0.4720 eV per atom. As for the density of states at the Fermi level: 4.85 states/eV/f.u.

Structure (POSCAR):
```
Sr2InPtN
1.0
5.6499 0.0000 0.0000
0.0000 5.6499 0.0000
0.0000 0.0000 3.8573
Sr In Pt N
2 1 1 1
direct
0.0000 0.5000 0.0000
0.5000 0.0000 0.0000
0.0000 0.0000 0.5000
0.5000 0.5000 0.5000
0.5000 0.5000 0.0000
```



Record 14
# Sr2InPtN

Sr2InPtN after structural relaxation (GGA-PBE, Alexandria).

Its offset from the most stable computed form is 6.50 eV per formula unit. Its volume is 191 Å³ per cell. The value obtained for the energy relative to the elements, uncorrected is 0.8283 eV per atom. As for the density of states at the Fermi level: 3.68 states/eV/f.u.

Structure (POSCAR):
```
Sr2InPtN
1.0
6.2239 0.0000 0.0000
0.0000 6.2239 0.0000
0.0000 0.0000 4.9217
Sr In Pt N
2 1 1 1
direct
0.0000 0.5000 0.0000
0.5000 0.0000 0.0000
0.0000 0.0000 0.0000
0.0000 0.0000 0.5000
0.5000 0.5000 0.5000
```



Record 15
# PuInN

PuInN after structural relaxation (GGA-PBE, Alexandria).

Its volume is 138 Å³ per cell. The value obtained for the energy relative to the elements, uncorrected is -0.3738 eV per atom. As for the density of states at the Fermi level: 9.43 states/eV/f.u.

Structure (POSCAR):
```
PuInN
1.0
-1.8757 2.5371 7.2483
1.8757 -2.5371 7.2483
1.8757 2.5371 -7.2483
Pu In N
2 2 2
direct
0.1918 0.1918 0.0000
0.8082 0.8082 0.0000
0.2502 0.5000 0.7502
0.7498 0.5000 0.2498
0.2645 0.7645 0.5000
0.7355 0.2355 0.5000
```



Record 16
# PuInN

PuInN after structural relaxation (GGA-PBE, Alexandria).

Its volume is 118 Å³ per cell. The value obtained for the energy relative to the elements, uncorrected is -0.5583 eV per atom. As for the density of states at the Fermi level: 7.08 states/eV/f.u.

Structure (POSCAR):
```
PuInN
1.0
1.6051 -6.3486 0.0000
1.6051 6.3486 0.0000
0.0000 0.0000 5.8139
Pu In N
2 2 2
direct
0.0728 0.9272 0.7500
0.9272 0.0728 0.2500
0.3293 0.6707 0.7500
0.6707 0.3293 0.2500
0.5000 0.5000 0.0000
0.5000 0.5000 0.5000
```



Record 17
# PuInN

PuInN after structural relaxation (GGA-PBE, Alexandria).

Its volume is 65 Å³ per cell. The value obtained for the energy relative to the elements, uncorrected is -0.4979 eV per atom. As for the density of states at the Fermi level: 7.37 states/eV/f.u.

Structure (POSCAR):
```
PuInN
1.0
-1.6467 1.6467 5.9689
1.6467 -1.6467 5.9689
1.6467 1.6467 -5.9689
Pu In N
1 1 1
direct
0.0000 0.0000 0.0000
0.2724 0.2724 0.0000
0.4676 0.4676 0.0000
```



Record 18
# Pu4In2N

Pu4In2N after structural relaxation (GGA-PBE, Alexandria).

Its volume is 180 Å³ per cell. The value obtained for the energy relative to the elements, uncorrected is -0.2400 eV per atom. As for the density of states at the Fermi level: 28.85 states/eV/f.u.

Structure (POSCAR):
```
Pu4In2N
1.0
-2.3858 2.3858 7.9157
2.3858 -2.3858 7.9157
2.3858 2.3858 -7.9157
Pu In N
4 2 1
direct
0.0000 0.5000 0.5000
0.1570 0.1570 0.0000
0.5000 0.0000 0.5000
0.8430 0.8430 0.0000
0.3608 0.3608 0.0000
0.6392 0.6392 0.0000
0.0000 0.0000 0.0000
```



Record 19
# Sm2PuInN4

Sm2PuInN4 after structural relaxation (GGA-PBE, Alexandria).

Its volume is 121 Å³ per cell. The value obtained for the energy relative to the elements, uncorrected is -0.9320 eV per atom. As for the density of states at the Fermi level: 6.54 states/eV/f.u.

Structure (POSCAR):
```
Sm2PuInN4
1.0
6.0583 0.0000 0.0000
0.0000 3.5162 0.0000
-2.1473 0.0000 5.6992
Sm Pu In N
2 1 1 4
direct
0.0000 0.0000 0.0000
0.5000 0.5000 0.0000
0.0000 0.5000 0.5000
0.5000 0.0000 0.5000
0.2329 0.0000 0.7416
0.2530 0.5000 0.2625
0.7470 0.5000 0.7375
0.7671 0.0000 0.2584
```



Record 20
# SrPuInN3

SrPuInN3 after structural relaxation (GGA-PBE, Alexandria).

Its volume is 225 Å³ per cell. The value obtained for the energy relative to the elements, uncorrected is -0.5017 eV per atom. As for the density of states at the Fermi level: 7.60 states/eV/f.u.

Structure (POSCAR):
```
SrPuInN3
1.0
7.1167 0.0000 0.0000
0.0000 3.4033 0.0000
-0.8062 0.0000 9.2734
Sr Pu In N
2 2 2 6
direct
0.1520 0.2500 0.1925
0.8480 0.7500 0.8075
0.3513 0.7500 0.8758
0.6487 0.2500 0.1242
0.1758 0.2500 0.5561
0.8242 0.7500 0.4439
0.1390 0.7500 0.4039
0.1681 0.2500 0.8914
0.4473 0.7500 0.1129
0.5527 0.2500 0.8871
0.8319 0.7500 0.1086
0.8610 0.2500 0.5961
```